The following is a PBE-GGA calculation of an optimized crystal structure of IrPt2, from Alexandria via LeMat-Bulk.

```
IrPt2
1.0
-2.945 1.781 2.886
1.050 -4.359 0.266
2.003 0.585 1.683
Pt Ir
2 1
Direct
0.333 0.667 0.456
0.667 0.333 0.544
0.000 0.000 0.000
```

Values from the calculation:
Calculated density: 20.6 Mg/m³
Energy above the most stable polymorph in this dataset: 0.72 eV/f.u.
ΔH_f (0 K): 0.28 eV per atom